Model a:
! PBE ReHgCl4, optimized geometry; values from VASP
! Spin magnetization   0.0 μB/f.u.
&SYSTEM
  ibrav = 0, nat = 12, ntyp = 3
/
ATOMIC_SPECIES
Re 186.21 Re.upf
Hg 200.59 Hg.upf
Cl 35.45 Cl.upf
ATOMIC_POSITIONS crystal
Re 0.037 0.037 0.351
Re 0.963 0.963 0.649
Hg 0.198 0.198 0.756
Hg 0.802 0.802 0.244
Cl 0.125 0.666 0.479
Cl 0.228 0.772 0.000
Cl 0.254 0.254 0.235
Cl 0.334 0.875 0.521
Cl 0.666 0.125 0.479
Cl 0.746 0.746 0.765
Cl 0.772 0.228 0.000
Cl 0.875 0.334 0.521
CELL_PARAMETERS angstrom
11.176 -3.431 0.000
11.176 3.431 0.000
-0.301 0.000 4.796

=====

Model b:
! PBE ReHgCl4, optimized geometry; values from VASP
! Spin magnetization   3.0 μB/f.u.
&SYSTEM
  ibrav = 0, nat = 6, ntyp = 3
/
ATOMIC_SPECIES
Re 186.21 Re.upf
Hg 200.59 Hg.upf
Cl 35.45 Cl.upf
ATOMIC_POSITIONS crystal
Re 0.000 0.000 0.000
Hg 0.250 0.250 0.250
Cl 0.122 0.626 0.626
Cl 0.626 0.122 0.626
Cl 0.626 0.626 0.122
Cl 0.626 0.626 0.626
CELL_PARAMETERS angstrom
0.000 4.180 4.180
4.180 0.000 4.180
4.180 4.180 0.000

=====

Energies relative to the minimum, meV/atom: model a 0; model b 1728

=====

Model a:
! PBE HgRh2Cl, optimized geometry; values from VASP
! Spin magnetization   0.4 μB/f.u.
&SYSTEM
  ibrav = 0, nat = 4, ntyp = 3
/
ATOMIC_SPECIES
Hg 200.59 Hg.upf
Rh 102.91 Rh.upf
Cl 35.45 Cl.upf
ATOMIC_POSITIONS crystal
Hg 0.000 0.000 0.000
Rh 0.555 0.555 0.500
Rh 0.884 0.884 0.500
Cl 0.225 0.225 0.502
CELL_PARAMETERS angstrom
6.310 -1.460 0.000
6.310 1.460 0.000
-0.003 0.000 4.692

=====

Model b:
! PBE HgRh2Cl, optimized geometry; values from VASP
! Spin magnetization   2.4 μB/f.u.
&SYSTEM
  ibrav = 0, nat = 4, ntyp = 3
/
ATOMIC_SPECIES
Hg 200.59 Hg.upf
Rh 102.91 Rh.upf
Cl 35.45 Cl.upf
ATOMIC_POSITIONS crystal
Hg 0.000 0.000 0.000
Rh 0.250 0.750 0.500
Rh 0.500 0.500 0.000
Cl 0.750 0.250 0.500
CELL_PARAMETERS angstrom
-2.043 2.043 4.230
2.043 -2.043 4.230
2.043 2.043 -4.230

=====

Model c:
! PBE HgRh2Cl, optimized geometry; values from VASP
! Spin magnetization   0.0 μB/f.u.
&SYSTEM
  ibrav = 0, nat = 4, ntyp = 3
/
ATOMIC_SPECIES
Hg 200.59 Hg.upf
Rh 102.91 Rh.upf
Cl 35.45 Cl.upf
ATOMIC_POSITIONS crystal
Hg 0.000 0.000 0.000
Rh 0.000 0.500 0.500
Rh 0.500 0.000 0.500
Cl 0.500 0.500 0.000
CELL_PARAMETERS angstrom
3.230 -3.426 0.000
3.230 3.426 0.000
0.000 0.000 3.065

=====

Energies relative to the minimum, meV/atom: model a 0; model b 405; model c 336